Here is an optimized crystal structure of ZnRuBr2 from Alexandria via LeMat-Bulk. Energies are from GGA-PBE.

abc: 4.679 4.679 7.460
angles: 72.49 72.49 44.92
Element x y z (fractional)
Br 0.862 0.862 0.630
Zn 0.164 0.164 0.417
Ru 0.464 0.464 0.346
Br 0.010 0.010 0.108

**Fermi-level density of states**: 0.0368 states/eV/atom
**Uncorrected formation energy**: 32 meV/atom

Here is an optimized crystal structure of Zr2Al2SiRh5 from Alexandria via LeMat-Bulk. Energies are from GGA-PBE.

abc: 2.969 10.219 10.219
angles: 90.00 90.00 90.00
Element x y z (fractional)
Si 0.000 0.500 0.500
Rh 0.500 0.500 0.000
Al 0.000 0.367 0.133
Al 0.000 0.633 0.867
Zr 0.000 0.326 0.826
Rh 0.500 0.541 0.694
Al 0.000 0.867 0.367
Rh 0.500 0.041 0.806
Si 0.000 0.000 0.000
Rh 0.500 0.959 0.194
Rh 0.500 0.000 0.500
Rh 0.500 0.306 0.541
Al 0.000 0.133 0.633
Zr 0.000 0.674 0.174
Rh 0.500 0.194 0.041
Rh 0.500 0.806 0.959
Zr 0.000 0.826 0.674
Rh 0.500 0.694 0.459
Rh 0.500 0.459 0.306
Zr 0.000 0.174 0.326

**Fermi-level density of states**: 0.5031 states/eV/atom
**Uncorrected formation energy**: -813 meV/atom